[1]
# Zr2TlTcO8, relaxed, DFT PBE-GGA
# total moment = 1.95 μB per formula unit
# N(E_F) = 2.9 states/eV per cell
# E_form (uncorrected) = -2.116 eV/atom
# E = -7.91 eV per atom
data_Zr2TlTcO8
_chemical_formula_sum 'Zr2 Tl1 Tc1 O8'
_cell_length_a 4.874
_cell_length_b 4.874
_cell_length_c 6.676
_cell_angle_alpha 90.00
_cell_angle_beta 90.00
_cell_angle_gamma 90.38
_space_group_name_H-M_alt 'P 1'
_space_group_IT_number 1
loop_
_space_group_symop_operation_xyz
'x,y,z'
loop_
_atom_site_label
_atom_site_fract_x
_atom_site_fract_y
_atom_site_fract_z
Zr1 0.000 0.000 0.247
Zr2 0.000 0.000 0.753
Tl1 0.500 0.500 0.500
Tc1 0.500 0.500 0.000
O1 0.183 0.183 0.500
O2 0.208 0.208 0.000
O3 0.303 0.697 0.212
O4 0.303 0.697 0.788
O5 0.697 0.303 0.212
O6 0.697 0.303 0.788
O7 0.792 0.792 0.000
O8 0.817 0.817 0.500



[2]
# NaNbSe2, relaxed, DFT PBE-GGA
# total moment = 0.00 μB per formula unit
# N(E_F) = 3.2 states/eV per cell
# E_form (uncorrected) = -0.590 eV/atom
# E = -5.18 eV per atom
data_NaNbSe2
_chemical_formula_sum 'Na1 Nb1 Se2'
_cell_length_a 7.257
_cell_length_b 7.257
_cell_length_c 3.842
_cell_angle_alpha 105.33
_cell_angle_beta 105.33
_cell_angle_gamma 30.55
_space_group_name_H-M_alt 'P 1'
_space_group_IT_number 1
loop_
_space_group_symop_operation_xyz
'x,y,z'
loop_
_atom_site_label
_atom_site_fract_x
_atom_site_fract_y
_atom_site_fract_z
Na1 0.000 0.000 0.000
Nb1 0.250 0.250 0.748
Se1 0.369 0.369 0.367
Se2 0.630 0.630 0.629



[3]
# Pm7Hg3O2, relaxed, DFT PBE-GGA
# total moment = 0.00 μB per formula unit
# N(E_F) = 8.0 states/eV per cell
# E_form (uncorrected) = -1.167 eV/atom
# E = -4.84 eV per atom
data_Pm7Hg3O2
_chemical_formula_sum 'Pm7 Hg3 O2'
_cell_length_a 12.374
_cell_length_b 12.374
_cell_length_c 4.873
_cell_angle_alpha 90.00
_cell_angle_beta 90.00
_cell_angle_gamma 156.95
_space_group_name_H-M_alt 'P 1'
_space_group_IT_number 1
loop_
_space_group_symop_operation_xyz
'x,y,z'
loop_
_atom_site_label
_atom_site_fract_x
_atom_site_fract_y
_atom_site_fract_z
Pm1 0.000 0.000 0.000
Pm2 0.099 0.901 0.500
Pm3 0.204 0.796 0.000
Pm4 0.398 0.602 0.000
Pm5 0.602 0.398 0.000
Pm6 0.796 0.204 0.000
Pm7 0.901 0.099 0.500
Hg1 0.302 0.698 0.500
Hg2 0.500 0.500 0.500
Hg3 0.698 0.302 0.500
O1 0.102 0.898 0.000
O2 0.898 0.102 0.000



[4]
# Ca2AcAl4, relaxed, DFT PBE-GGA
# total moment = 0.00 μB per formula unit
# N(E_F) = 6.0 states/eV per cell
# E = -3.59 eV per atom
data_Ca2AcAl4
_chemical_formula_sum 'Ca2 Ac1 Al4'
_cell_length_a 10.274
_cell_length_b 10.274
_cell_length_c 10.274
_cell_angle_alpha 154.87
_cell_angle_beta 154.66
_cell_angle_gamma 35.98
_space_group_name_H-M_alt 'P 1'
_space_group_IT_number 1
loop_
_space_group_symop_operation_xyz
'x,y,z'
loop_
_atom_site_label
_atom_site_fract_x
_atom_site_fract_y
_atom_site_fract_z
Ca1 0.189 0.189 0.000
Ca2 0.811 0.811 0.000
Ac1 0.500 0.000 0.500
Al1 0.068 0.568 0.500
Al2 0.360 0.360 0.000
Al3 0.640 0.640 0.000
Al4 0.932 0.432 0.500



[5]
# La2YSc, relaxed, DFT PBE-GGA
# total moment = 0.00 μB per formula unit
# N(E_F) = 6.8 states/eV per cell
# E = -5.55 eV per atom
data_La2YSc
_chemical_formula_sum 'La2 Y1 Sc1'
_cell_length_a 6.890
_cell_length_b 6.890
_cell_length_c 6.890
_cell_angle_alpha 148.42
_cell_angle_beta 130.13
_cell_angle_gamma 60.23
_space_group_name_H-M_alt 'P 1'
_space_group_IT_number 1
loop_
_space_group_symop_operation_xyz
'x,y,z'
loop_
_atom_site_label
_atom_site_fract_x
_atom_site_fract_y
_atom_site_fract_z
La1 0.223 0.223 0.000
La2 0.777 0.777 0.000
Y1 0.500 0.000 0.500
Sc1 0.000 0.500 0.500



[6]
# BaTaMn2, relaxed, DFT PBE-GGA
# total moment = 5.52 μB per formula unit
# N(E_F) = 5.8 states/eV per cell
# E = -7.04 eV per atom
data_BaTaMn2
_chemical_formula_sum 'Ba1 Ta1 Mn2'
_cell_length_a 3.143
_cell_length_b 5.111
_cell_length_c 5.151
_cell_angle_alpha 90.00
_cell_angle_beta 90.00
_cell_angle_gamma 90.00
_space_group_name_H-M_alt 'P 1'
_space_group_IT_number 1
loop_
_space_group_symop_operation_xyz
'x,y,z'
loop_
_atom_site_label
_atom_site_fract_x
_atom_site_fract_y
_atom_site_fract_z
Ba1 0.000 0.000 0.000
Ta1 0.000 0.500 0.500
Mn1 0.500 0.000 0.500
Mn2 0.500 0.500 0.000



[7]
# PmPu2CdO8, relaxed, DFT PBE-GGA
# total moment = 5.00 μB per formula unit
# N(E_F) = 12.0 states/eV per cell
# E_form (uncorrected) = -2.482 eV/atom
# E = -8.65 eV per atom
data_PmPu2CdO8
_chemical_formula_sum 'Pm1 Pu2 Cd1 O8'
_cell_length_a 6.538
_cell_length_b 6.538
_cell_length_c 6.538
_cell_angle_alpha 131.08
_cell_angle_beta 131.08
_cell_angle_gamma 71.69
_space_group_name_H-M_alt 'P 1'
_space_group_IT_number 1
loop_
_space_group_symop_operation_xyz
'x,y,z'
loop_
_atom_site_label
_atom_site_fract_x
_atom_site_fract_y
_atom_site_fract_z
Pm1 0.000 0.000 0.000
Pu1 0.250 0.750 0.500
Pu2 0.500 0.500 0.000
Cd1 0.750 0.250 0.500
O1 0.149 0.124 0.523
O2 0.149 0.626 0.025
O3 0.374 0.399 0.523
O4 0.374 0.851 0.975
O5 0.601 0.124 0.975
O6 0.601 0.626 0.477
O7 0.876 0.399 0.025
O8 0.876 0.851 0.477



[8]
# Na2LaAsW, relaxed, DFT PBE-GGA
# total moment = 2.77 μB per formula unit
# N(E_F) = 5.1 states/eV per cell
# E = -3.86 eV per atom
data_Na2LaAsW
_chemical_formula_sum 'Na2 La1 As1 W1'
_cell_length_a 5.514
_cell_length_b 5.514
_cell_length_c 5.262
_cell_angle_alpha 90.00
_cell_angle_beta 90.00
_cell_angle_gamma 90.00
_space_group_name_H-M_alt 'P 1'
_space_group_IT_number 1
loop_
_space_group_symop_operation_xyz
'x,y,z'
loop_
_atom_site_label
_atom_site_fract_x
_atom_site_fract_y
_atom_site_fract_z
Na1 0.000 0.500 0.000
Na2 0.500 0.000 0.000
La1 0.000 0.000 0.500
As1 0.500 0.500 0.500
W1 0.000 0.000 0.000



[9]
# LuPdRh4, relaxed, DFT PBE-GGA
# total moment = 1.25 μB per formula unit
# N(E_F) = 12.1 states/eV per cell
# E = -6.83 eV per atom
data_LuPdRh4
_chemical_formula_sum 'Lu1 Pd1 Rh4'
_cell_length_a 5.191
_cell_length_b 5.191
_cell_length_c 5.191
_cell_angle_alpha 60.00
_cell_angle_beta 60.00
_cell_angle_gamma 60.00
_space_group_name_H-M_alt 'P 1'
_space_group_IT_number 1
loop_
_space_group_symop_operation_xyz
'x,y,z'
loop_
_atom_site_label
_atom_site_fract_x
_atom_site_fract_y
_atom_site_fract_z
Lu1 0.000 0.000 0.000
Pd1 0.250 0.250 0.250
Rh1 0.126 0.625 0.625
Rh2 0.625 0.126 0.625
Rh3 0.625 0.625 0.126
Rh4 0.625 0.625 0.625



[10]
# TaGeAu, relaxed, DFT PBE-GGA
# total moment = 0.00 μB per formula unit
# N(E_F) = 2.7 states/eV per cell
# E = -6.55 eV per atom
data_TaGeAu
_chemical_formula_sum 'Ta2 Ge2 Au2'
_cell_length_a 5.458
_cell_length_b 5.458
_cell_length_c 7.799
_cell_angle_alpha 116.56
_cell_angle_beta 116.56
_cell_angle_gamma 30.80
_space_group_name_H-M_alt 'P 1'
_space_group_IT_number 1
loop_
_space_group_symop_operation_xyz
'x,y,z'
loop_
_atom_site_label
_atom_site_fract_x
_atom_site_fract_y
_atom_site_fract_z
Ta1 0.146 0.146 0.311
Ta2 0.854 0.854 0.689
Ge1 0.121 0.121 0.659
Ge2 0.879 0.879 0.341
Au1 0.386 0.386 0.044
Au2 0.614 0.614 0.956



[11]
# SmTmP2Rh5, relaxed, DFT PBE-GGA
# total moment = 0.00 μB per formula unit
# N(E_F) = 3.9 states/eV per cell
# E = -7.07 eV per atom
data_SmTmP2Rh5
_chemical_formula_sum 'Sm1 Tm1 P2 Rh5'
_cell_length_a 4.049
_cell_length_b 4.049
_cell_length_c 10.609
_cell_angle_alpha 90.00
_cell_angle_beta 90.00
_cell_angle_gamma 90.00
_space_group_name_H-M_alt 'P 1'
_space_group_IT_number 1
loop_
_space_group_symop_operation_xyz
'x,y,z'
loop_
_atom_site_label
_atom_site_fract_x
_atom_site_fract_y
_atom_site_fract_z
Sm1 0.000 0.000 0.000
Tm1 0.000 0.000 0.500
P1 0.500 0.500 0.214
P2 0.500 0.500 0.786
Rh1 0.000 0.500 0.307
Rh2 0.000 0.500 0.693
Rh3 0.500 0.000 0.307
Rh4 0.500 0.000 0.693
Rh5 0.500 0.500 0.000



[12]
# CaCr2W, relaxed, DFT PBE-GGA
# total moment = 1.20 μB per formula unit
# N(E_F) = 3.9 states/eV per cell
# E = -7.54 eV per atom
data_CaCr2W
_chemical_formula_sum 'Ca1 Cr2 W1'
_cell_length_a 5.234
_cell_length_b 2.607
_cell_length_c 5.290
_cell_angle_alpha 90.00
_cell_angle_beta 115.89
_cell_angle_gamma 90.00
_space_group_name_H-M_alt 'P 1'
_space_group_IT_number 1
loop_
_space_group_symop_operation_xyz
'x,y,z'
loop_
_atom_site_label
_atom_site_fract_x
_atom_site_fract_y
_atom_site_fract_z
Ca1 0.000 0.000 0.000
Cr1 0.000 0.500 0.500
Cr2 0.500 0.000 0.000
W1 0.500 0.500 0.500



- Which value of E does entry 1 give?
  -7.91 eV per atom



- The lowest E belongs to which entry?
  PmPu2CdO8